The following is a PBE calculation of crystalline NbIn2Pd2 at its relaxed geometry, from Alexandria via LeMat-Bulk.

extended XYZ file:
```
10
Lattice="-0.651 7.854 0.354 -6.291 -0.307 -4.750 -1.776 -0.254 2.369" Properties=species:S:1:pos:R:3 pbc="T T T"
Nb 0.000 0.000 0.000
Nb -3.471 3.774 -2.198
Pd -5.128 0.909 -1.883
Pd -6.616 4.779 -2.584
Pd -3.591 6.384 -0.143
Pd -2.103 2.514 0.557
In -5.632 2.550 -3.950
In -4.597 6.543 -2.745
In -1.310 4.998 -0.446
In -2.346 1.004 -1.651
```

## Properties
DOS(E_F)   3.47 states/eV/f.u.
Magnetization   0.00 μB/f.u.
Mass density   9.6 g/cm3
Excess energy over the best structure of this formula in the dataset   45.1 meV/atom
Formation energy   -0.1343 eV/atom
Total DFT energy (no corrections)   -5.32 eV per atom


The following is a PBE calculation of crystalline NbIn2Pd8 at its relaxed geometry, from Alexandria via LeMat-Bulk.

extended XYZ file:
```
11
Lattice="4.199 0.236 -0.155 -0.450 6.495 -2.314 0.238 0.298 6.900" Properties=species:S:1:pos:R:3 pbc="T T T"
Nb 2.099 0.118 -0.077
In -0.195 4.200 1.099
In -0.017 2.594 3.486
Pd -0.263 6.435 2.654
Pd -0.089 4.872 4.977
Pd 1.958 4.678 3.000
Pd 2.176 1.871 4.658
Pd 1.811 5.158 -0.228
Pd 2.029 2.352 1.430
Pd 4.076 2.157 -0.547
Pd 4.249 0.594 1.777
```

## Properties
DOS(E_F)   4.99 states/eV/f.u.
Magnetization   0.00 μB/f.u.
Mass density   10.2 g/cm3
Formation energy   -0.2796 eV/atom
Total DFT energy (no corrections)   -5.47 eV per atom


The following is a PBE calculation of crystalline NbInPd4 at its relaxed geometry, from Alexandria via LeMat-Bulk.

extended XYZ file:
```
6
Lattice="-2.511 -0.969 -1.272 -0.357 -4.869 0.933 -5.086 2.415 4.714" Properties=species:S:1:pos:R:3 pbc="T T T"
Nb 0.000 0.000 0.000
In -3.977 -1.711 2.188
Pd -6.525 -1.220 3.358
Pd -2.506 0.447 1.123
Pd -1.429 -2.203 1.017
Pd -5.448 -3.870 3.252
```

## Properties
DOS(E_F)   3.20 states/eV/f.u.
Magnetization   0.00 μB/f.u.
Mass density   10.6 g/cm3
Excess energy over the best structure of this formula in the dataset   0.0 meV/atom
Formation energy   -0.4064 eV/atom
Total DFT energy (no corrections)   -6.00 eV per atom


The following is a PBE calculation of crystalline NbIn2Pd at its relaxed geometry, from Alexandria via LeMat-Bulk.

extended XYZ file:
```
4
Lattice="-2.699 -3.430 -1.921 -3.336 -2.163 2.632 -4.618 0.807 -0.871" Properties=species:S:1:pos:R:3 pbc="T T T"
Nb 0.000 0.000 0.000
Pd -5.326 -2.393 -0.080
In -2.663 -1.197 -0.040
In -7.989 -3.590 -0.120
```

## Properties
DOS(E_F)   2.70 states/eV/f.u.
Magnetization   1.31 μB/f.u.
Mass density   9.3 g/cm3
Excess energy over the best structure of this formula in the dataset   212.4 meV/atom
Formation energy   0.0083 eV/atom
Total DFT energy (no corrections)   -5.18 eV per atom


The following is a PBE calculation of crystalline NbInPd5 at its relaxed geometry, from Alexandria via LeMat-Bulk.

extended XYZ file:
```
7
Lattice="-2.844 -0.839 2.681 -0.553 -3.574 -1.705 5.267 -3.028 4.640" Properties=species:S:1:pos:R:3 pbc="T T T"
Nb 2.633 -1.514 2.320
In -1.699 -2.206 0.488
Pd 3.681 -4.062 2.634
Pd 1.033 -2.540 0.301
Pd 2.535 -2.695 4.827
Pd -0.113 -1.173 2.494
Pd 0.935 -3.720 2.808
```

## Properties
DOS(E_F)   2.99 states/eV/f.u.
Magnetization   0.00 μB/f.u.
Mass density   10.1 g/cm3
Excess energy over the best structure of this formula in the dataset   0.0 meV/atom
Formation energy   -0.3924 eV/atom
Total DFT energy (no corrections)   -5.93 eV per atom


The following is a PBE calculation of crystalline Nb3InPd at its relaxed geometry, from Alexandria via LeMat-Bulk.

extended XYZ file:
```
5
Lattice="-0.625 -1.790 4.485 2.292 -4.090 -1.313 4.250 1.942 1.368" Properties=species:S:1:pos:R:3 pbc="T T T"
Nb 1.146 -2.045 -0.657
Nb 2.125 0.971 0.684
Nb -0.313 -0.895 2.242
Pd 0.000 0.000 0.000
In 2.959 -1.969 2.270
```

## Properties
DOS(E_F)   5.24 states/eV/f.u.
Magnetization   0.00 μB/f.u.
Mass density   7.2 g/cm3
Excess energy over the best structure of this formula in the dataset   0.0 meV/atom
Formation energy   1.0377 eV/atom
Total DFT energy (no corrections)   -6.59 eV per atom


The following is a PBE calculation of crystalline NbIn3Pd at its relaxed geometry, from Alexandria via LeMat-Bulk.

extended XYZ file:
```
5
Lattice="-4.269 2.444 1.156 -2.683 -3.567 -2.368 -0.329 -2.615 4.312" Properties=species:S:1:pos:R:3 pbc="T T T"
Nb -3.641 -1.869 1.550
Pd 0.000 0.000 0.000
In -1.342 -1.784 -1.184
In -0.165 -1.307 2.156
In -2.135 1.222 0.578
```

## Properties
DOS(E_F)   4.44 states/eV/f.u.
Magnetization   3.01 μB/f.u.
Mass density   7.0 g/cm3
Excess energy over the best structure of this formula in the dataset   0.0 meV/atom
Formation energy   0.6144 eV/atom
Total DFT energy (no corrections)   -4.08 eV per atom


The following is a PBE calculation of crystalline NbIn2Pd at its relaxed geometry, from Alexandria via LeMat-Bulk.

extended XYZ file:
```
4
Lattice="3.082 0.000 0.000 0.000 3.082 0.000 0.000 0.000 7.916" Properties=species:S:1:pos:R:3 pbc="T T T"
Nb 1.541 1.541 3.958
Pd 1.541 1.541 0.000
In 0.000 0.000 6.081
In 0.000 0.000 1.835
```

## Properties
DOS(E_F)   2.08 states/eV/f.u.
Magnetization   0.00 μB/f.u.
Mass density   9.5 g/cm3
Excess energy over the best structure of this formula in the dataset   0.0 meV/atom
Formation energy   -0.2041 eV/atom
Total DFT energy (no corrections)   -5.39 eV per atom